Material: ZnAgBr3
Method: DFT, SCAN
State: single point on PBEsol structure

Formation energy (no corrections)   -0.3487 eV/atom
Crystal system   cubic

Lattice parameters (Å, degrees): 5.0505 5.0505 5.0505 90.00 90.00 90.00
Fractional positions:
Zn: 0.0000 0.0000 0.0000
Ag: 0.5000 0.5000 0.5000
Br: 0.0000 0.0000 0.5000
Br: 0.0000 0.5000 0.0000
Br: 0.5000 0.0000 0.0000

=====

Material: MgInAs2Se
Method: DFT, SCAN
State: single point on PBEsol structure

Formation energy (no corrections)   0.4127 eV/atom
N(E_F)   1.067 states/eV per atom
Crystal system   tetragonal
Energy relative to the lowest polymorph listed for this composition   0 meV per atom

Lattice parameters (Å, degrees): 4.9919 4.9919 5.0002 90.00 90.00 90.00
Fractional positions:
Mg: 0.0000 0.0000 0.0000
In: 0.5000 0.5000 0.5000
As: 0.0000 0.5000 0.0000
As: 0.5000 0.0000 0.0000
Se: 0.0000 0.0000 0.5000

=====

Material: MoAs2Pd
Method: DFT, SCAN
State: single point on PBEsol structure

Calculated formation energy   23 kJ/mol of formula units
N(E_F)   0.750 states/eV per atom
Crystal system   cubic

Lattice parameters (Å, degrees): 4.4271 4.4271 4.4271 60.00 60.00 60.00
Fractional positions:
Mo: 0.0000 0.0000 0.0000
As: 0.2500 0.2500 0.2500
As: 0.7500 0.7500 0.7500
Pd: 0.5000 0.5000 0.5000